An optimized crystal structure of Ca3Sm2PuTe6, computed with PBE-GGA.

Cell lengths 4.446, 9.011, 10.045 Å; angles 103.82, 102.79, 90.00 degrees
Each line ends with the local moment (μB).
Positions (direct):
Pu (0.500, 0.000, 0.000)  5.59
Sm (0.166, 0.333, 0.333)  0.05
Sm (0.834, 0.667, 0.667)  0.05
Te (0.667, 0.584, 0.334)  0.00
Ca (0.166, 0.834, 0.333)  0.01
Te (0.000, 0.749, 0.000)  -0.03
Ca (0.500, 0.500, 0.000)  0.01
Te (0.000, 0.251, 0.000)  -0.03
Ca (0.834, 0.166, 0.667)  0.01
Te (0.333, 0.916, 0.665)  -0.01
Te (0.333, 0.416, 0.666)  0.00
Te (0.667, 0.084, 0.335)  -0.01

As for the calculated volume: 381 Å³ per cell. The value obtained for the density of states at the Fermi level is 17.6 states/eV/f.u. Its space-group type is C2/m (12). Its total energy is -5.494 eV per atom. The magnetic moment is 6.1 μB/f.u.